No. 1
Th4Al12Au PBE-GGA optimized geometry; formation energy from the elements = -0.4041 eV per atom; crystal system = cubic
1.0
7.284 0.000 -2.575
-3.642 6.308 -2.575
0.000 0.000 7.726
Au Th Al
1 4 12
direct
0.000 0.000 0.000
0.000 0.500 0.000
0.000 0.000 0.500
0.500 0.000 0.000
0.500 0.500 0.500
0.750 0.250 0.500
0.500 0.750 0.250
0.250 0.500 0.750
0.750 0.500 0.250
0.000 0.308 0.308
0.308 0.000 0.308
0.000 0.692 0.692
0.500 0.250 0.750
0.308 0.308 0.000
0.692 0.692 0.000
0.250 0.750 0.500
0.692 0.000 0.692

---

No. 2
Th3Al2Au9 PBE-GGA optimized geometry; formation energy from the elements = -0.5514 eV per atom; crystal system = monoclinic
1.0
-2.898 -2.679 2.778
-0.936 -5.966 -6.728
7.879 1.313 3.814
Al Au Th
2 9 3
direct
0.500 0.657 0.000
0.500 0.343 0.000
0.880 0.152 0.702
0.880 0.551 0.702
0.390 0.710 0.722
0.610 0.988 0.278
0.610 0.290 0.278
0.120 0.449 0.298
0.120 0.848 0.298
0.390 0.012 0.722
0.000 0.500 0.000
0.000 0.000 0.000
0.714 0.722 0.445
0.286 0.278 0.555

---

No. 3
Th2Al2Au5 PBE-GGA optimized geometry; formation energy from the elements = -0.5008 eV per atom; crystal system = tetragonal
1.0
4.792 0.000 0.000
0.000 4.792 0.000
0.000 0.000 8.457
Au Al Th
5 2 2
direct
0.000 0.500 0.265
0.000 0.500 0.735
0.500 0.000 0.265
0.500 0.500 0.500
0.500 0.000 0.735
0.500 0.500 0.845
0.500 0.500 0.155
0.000 0.000 0.500
0.000 0.000 0.000

---

No. 4
ThAlAu6 PBE-GGA optimized geometry; formation energy from the elements = -0.2358 eV per atom; crystal system = trigonal
1.0
-0.431 -0.342 5.578
-1.605 -4.806 2.398
6.011 -3.755 3.051
Au Al Th
6 1 1
direct
0.924 0.432 0.719
0.924 0.924 0.719
0.076 0.568 0.281
0.568 0.076 0.281
0.432 0.924 0.719
0.076 0.076 0.281
0.000 0.000 0.000
0.500 0.500 0.500

---

| no. | calculated volume (Å³/cell) |
| --- | --- |
| 1 | 355.0 |
| 2 | 300.0 |
| 3 | 194.2 |
| 4 | 190.6 |